[1]
## NdBiPb2O6 (PBE)

Data for a geometry-optimized NdBiPb2O6 structure.

a b c (Å): 6.0148 6.0148 6.1697
angles (deg): 119.43 119.43 60.76
Element x y z (fractional)
Nd: 0.0000 0.0000 0.5000
O: 0.3242 0.8085 0.8298
O: 0.8085 0.3242 0.8298
O: 0.1915 0.6758 0.1702
O: 0.2669 0.2669 0.6650
O: 0.7331 0.7331 0.3350
O: 0.6758 0.1915 0.1702
Pb: 0.2470 0.2470 0.2145
Pb: 0.7530 0.7530 0.7855
Bi: 0.5000 0.5000 0.0000

Summary:
Density in g cm⁻³: 8.959
Energy above the most stable polymorph in this dataset in eV per atom: 0.002
Calculated total energy in eV/atom: -6.169
Crystal system: monoclinic
Size of the total moment in Bohr magnetons per cell: 0.00

[2]
## NpSnBi (PBE)

Data for a geometry-optimized NpSnBi structure.

a b c (Å): 5.2224 5.2224 5.2224
angles (deg): 60.00 60.00 60.00
Each line ends with the local moment (μB).
Element x y z (fractional)
Sn: 0.0000 0.0000 0.0000  0.09
Np: 0.2500 0.2500 0.2500  4.36
Bi: 0.7500 0.7500 0.7500  -0.02

Summary:
Density in g cm⁻³: 9.310
Energy above the most stable polymorph in this dataset in eV per atom: 0.099
Calculated total energy in eV/atom: -6.572
Crystal system: cubic
Size of the total moment in Bohr magnetons per cell: 4.84

[3]
## Dy3Zn2CdPdPt2 (PBE)

Data for a geometry-optimized Dy3Zn2CdPdPt2 structure.

a b c (Å): 3.8490 7.4113 7.4113
angles (deg): 119.85 90.00 90.00
Element x y z (fractional)
Pd: 0.5000 0.0187 0.0187
Zn: 0.0000 0.2513 0.9943
Zn: 0.0000 0.9943 0.2513
Pt: 0.0000 0.6645 0.3282
Pt: 0.0000 0.3282 0.6645
Cd: 0.0000 0.7525 0.7525
Dy: 0.5000 0.0047 0.5871
Dy: 0.5000 0.3988 0.3988
Dy: 0.5000 0.5871 0.0047

Summary:
Density in g cm⁻³: 11.114
Calculated total energy in eV/atom: -4.725
Energy of formation from the pure elements in meV/atom: -889.8
Crystal system: orthorhombic
Size of the total moment in Bohr magnetons per cell: 0.02

[4]
## TmNbRe (PBE)

Data for a geometry-optimized TmNbRe structure.

a b c (Å): 4.5204 4.5204 4.5204
angles (deg): 60.00 60.00 60.00
Element x y z (fractional)
Nb: 0.2500 0.2500 0.2500
Re: 0.7500 0.7500 0.7500
Tm: 0.0000 0.0000 0.0000

Summary:
Density in g cm⁻³: 11.391
Energy above the most stable polymorph in this dataset in eV per atom: 0.852
Calculated total energy in eV/atom: -7.449
Energy of formation from the pure elements in meV/atom: 1548.2
Crystal system: cubic
Size of the total moment in Bohr magnetons per cell: 0.02

[5]
## ZnCuSbIr (PBE)

Data for a geometry-optimized ZnCuSbIr structure.

a b c (Å): 4.4865 4.4865 4.4865
angles (deg): 60.00 60.00 60.00
Element x y z (fractional)
Sb: 0.0000 0.0000 0.0000
Zn: 0.5000 0.5000 0.5000
Ir: 0.2500 0.2500 0.2500
Cu: 0.7500 0.7500 0.7500

Summary:
Density in g cm⁻³: 11.518
Energy above the most stable polymorph in this dataset in eV per atom: 0.000
Calculated total energy in eV/atom: -4.427
Crystal system: cubic
Size of the total moment in Bohr magnetons per cell: 0.00

[6]
## TlFe3Sn5 (PBE)

Data for a geometry-optimized TlFe3Sn5 structure.

a b c (Å): 5.2303 5.2303 8.3897
angles (deg): 90.00 90.00 120.00
Each line ends with the local moment (μB).
Element x y z (fractional)
Fe: 0.0000 0.5000 0.5000  2.06
Fe: 0.5000 0.5000 0.5000  2.20
Fe: 0.5000 0.0000 0.5000  2.15
Tl: 0.0000 0.0000 0.0000  0.04
Sn: 0.6667 0.3333 0.2232  -0.04
Sn: 0.6667 0.3333 0.7768  -0.03
Sn: 0.0000 0.0000 0.5000  -0.13
Sn: 0.3333 0.6667 0.7768  -0.04
Sn: 0.3333 0.6667 0.2232  -0.03

Summary:
Density in g cm⁻³: 8.066
Calculated total energy in eV/atom: -5.221
Crystal system: hexagonal
Size of the total moment in Bohr magnetons per cell: 6.22

[7]
## MgCo6P4 (PBE)

Data for a geometry-optimized MgCo6P4 structure.

a b c (Å): 7.4059 7.4059 2.7374
angles (deg): 90.00 90.00 120.00
Each line ends with the local moment (μB).
Element x y z (fractional)
P: 0.8166 0.1834 0.0000  0.01
P: 0.8166 0.6331 0.0000  0.01
P: 0.3669 0.1834 0.0000  0.01
P: 0.3333 0.6667 0.0000  0.00
Co: 0.4971 0.9943 0.0000  0.07
Co: 0.6695 0.8348 0.5000  0.65
Co: 0.0057 0.5029 0.0000  0.08
Co: 0.4971 0.5029 0.0000  0.05
Co: 0.1652 0.3305 0.5000  0.65
Co: 0.1652 0.8348 0.5000  0.64
Mg: 0.0000 0.0000 0.0000  -0.01

Summary:
Density in g cm⁻³: 6.408
Energy above the most stable polymorph in this dataset in eV per atom: 0.660
Calculated total energy in eV/atom: -5.958
Crystal system: hexagonal
Size of the total moment in Bohr magnetons per cell: 2.09

[8]
## SmIn2Sn (PBE)

Data for a geometry-optimized SmIn2Sn structure.

a b c (Å): 4.6269 4.6269 4.8444
angles (deg): 90.00 90.00 90.00
Element x y z (fractional)
In: 0.5000 0.0000 0.0000
In: 0.0000 0.5000 0.0000
Sn: 0.0000 0.0000 0.5000
Sm: 0.5000 0.5000 0.5000

Summary:
Density in g cm⁻³: 7.985
Calculated total energy in eV/atom: -4.024
Crystal system: tetragonal
Size of the total moment in Bohr magnetons per cell: 0.00

[9]
## Er2Ta2Cl2O7 (PBE)

Data for a geometry-optimized Er2Ta2Cl2O7 structure.

a b c (Å): 7.8215 7.8215 6.8059
angles (deg): 113.59 113.59 28.69
Element x y z (fractional)
O: 0.0849 0.0849 0.1604
O: 0.4488 0.4488 0.1485
O: 0.5512 0.5512 0.8515
O: 0.8193 0.8193 0.0601
O: 0.0000 0.0000 0.5000
O: 0.9151 0.9151 0.8396
O: 0.1807 0.1807 0.9399
Er: 0.3033 0.3033 0.8393
Er: 0.6967 0.6967 0.1607
Cl: 0.6818 0.6818 0.5654
Cl: 0.3182 0.3182 0.4346
Ta: 0.0354 0.0354 0.8033
Ta: 0.9646 0.9646 0.1967

Summary:
Density in g cm⁻³: 8.020
Calculated total energy in eV/atom: -8.448
Crystal system: monoclinic
Size of the total moment in Bohr magnetons per cell: 0.00

[10]
## NaAl2Ag2 (PBE)

Data for a geometry-optimized NaAl2Ag2 structure.

a b c (Å): 8.0463 8.0463 2.8461
angles (deg): 90.00 90.00 90.00
Element x y z (fractional)
Na: 0.5000 0.5000 0.0000
Na: 0.0000 0.0000 0.0000
Ag: 0.8245 0.6755 0.5000
Ag: 0.1755 0.3245 0.5000
Ag: 0.3245 0.8245 0.5000
Ag: 0.6755 0.1755 0.5000
Al: 0.1220 0.6220 0.0000
Al: 0.8780 0.3780 0.0000
Al: 0.6220 0.8780 0.0000
Al: 0.3780 0.1220 0.0000

Summary:
Density in g cm⁻³: 5.275
Energy above the most stable polymorph in this dataset in eV per atom: 0.000
Calculated total energy in eV/atom: -2.986
Crystal system: tetragonal

[11]
## TbCdB4 (PBE)

Data for a geometry-optimized TbCdB4 structure.

a b c (Å): 5.1405 5.1405 5.1405
angles (deg): 143.79 116.43 75.41
Element x y z (fractional)
B: 0.4359 0.7597 0.6762
B: 0.9166 0.2403 0.6762
B: 0.0834 0.7597 0.3238
B: 0.5641 0.2403 0.3238
Tb: 0.5000 0.5000 0.0000
Cd: 0.0000 0.0000 0.0000

Summary:
Density in g cm⁻³: 7.424
Energy above the most stable polymorph in this dataset in eV per atom: 0.000
Calculated total energy in eV/atom: -5.445
Crystal system: orthorhombic
Size of the total moment in Bohr magnetons per cell: 0.00

[12]
## AcBeFe (PBE)

Data for a geometry-optimized AcBeFe structure.

a b c (Å): 4.4516 4.4516 4.4516
angles (deg): 60.00 60.00 60.00
Each line ends with the local moment (μB).
Element x y z (fractional)
Fe: 0.0000 0.0000 0.0000  1.05
Be: 0.7500 0.7500 0.7500  -0.04
Ac: 0.2500 0.2500 0.2500  0.05

Summary:
Density in g cm⁻³: 7.769
Energy above the most stable polymorph in this dataset in eV per atom: 0.000
Calculated total energy in eV/atom: -4.682
Crystal system: cubic
Size of the total moment in Bohr magnetons per cell: 0.99

[13]
## SrTe2Pt2F2 (PBE)

Data for a geometry-optimized SrTe2Pt2F2 structure.

a b c (Å): 3.8075 3.8075 9.6826
angles (deg): 90.00 90.00 90.00
Element x y z (fractional)
Te: 0.5000 0.0000 0.7395
Te: 0.0000 0.5000 0.2605
F: 0.5000 0.5000 0.5000
F: 0.0000 0.0000 0.5000
Pt: 0.0000 0.5000 0.6762
Pt: 0.5000 0.0000 0.3238
Sr: 0.0000 0.0000 0.0000

Summary:
Density in g cm⁻³: 9.121
Calculated total energy in eV/atom: -4.010
Crystal system: tetragonal
Size of the total moment in Bohr magnetons per cell: 0.01

[14]
## CsErBe (PBE)

Data for a geometry-optimized CsErBe structure.

a b c (Å): 5.3006 5.3006 5.3006
angles (deg): 60.00 60.00 60.00
Element x y z (fractional)
Er: 0.0000 0.0000 0.0000
Be: 0.2500 0.2500 0.2500
Cs: 0.7500 0.7500 0.7500

Summary:
Density in g cm⁻³: 4.875
Calculated total energy in eV/atom: -1.671
Crystal system: cubic
Size of the total moment in Bohr magnetons per cell: 0.03

[15]
## Dy3Tl2Cd4 (PBE)

Data for a geometry-optimized Dy3Tl2Cd4 structure.

a b c (Å): 7.5759 7.5759 4.5418
angles (deg): 90.00 90.00 120.00
Element x y z (fractional)
Tl: 0.3333 0.6667 0.0000
Tl: 0.6667 0.3333 0.0000
Dy: 0.4273 0.4273 0.5000
Dy: 0.5727 0.0000 0.5000
Dy: 0.0000 0.5727 0.5000
Cd: 0.0000 0.2406 0.0000
Cd: 0.2406 0.0000 0.0000
Cd: 0.0000 0.0000 0.5000
Cd: 0.7594 0.7594 0.0000

Summary:
Density in g cm⁻³: 9.900
Calculated total energy in eV/atom: -2.786
Crystal system: hexagonal
Size of the total moment in Bohr magnetons per cell: 0.00

[16]
## ZrPPtO (PBE)

Data for a geometry-optimized ZrPPtO structure.

a b c (Å): 3.7753 3.7753 7.9594
angles (deg): 90.00 90.00 90.00
Element x y z (fractional)
Pt: 0.5000 0.5000 0.5000
Pt: 0.0000 0.0000 0.5000
O: 0.5000 0.5000 0.0000
O: 0.0000 0.0000 0.0000
Zr: 0.0000 0.5000 0.1555
Zr: 0.5000 0.0000 0.8445
P: 0.5000 0.0000 0.2951
P: 0.0000 0.5000 0.7049

Summary:
Density in g cm⁻³: 9.757
Energy above the most stable polymorph in this dataset in eV per atom: 0.000
Calculated total energy in eV/atom: -7.708
Crystal system: tetragonal
Size of the total moment in Bohr magnetons per cell: 0.04

[17]
## YMgFeGe (PBE)

Data for a geometry-optimized YMgFeGe structure.

a b c (Å): 4.7179 4.7179 4.7179
angles (deg): 60.00 60.00 60.00
Element x y z (fractional)
Mg: 0.5000 0.5000 0.5000
Fe: 0.7500 0.7500 0.7500
Y: 0.2500 0.2500 0.2500
Ge: 0.0000 0.0000 0.0000

Summary:
Density in g cm⁻³: 5.405
Energy above the most stable polymorph in this dataset in eV per atom: 0.000
Calculated total energy in eV/atom: -5.243
Crystal system: cubic
Size of the total moment in Bohr magnetons per cell: 2.05

[18]
## Ga2CuAs (PBE)

Data for a geometry-optimized Ga2CuAs structure.

a b c (Å): 4.6098 4.6098 4.6098
angles (deg): 60.00 60.00 60.00
Element x y z (fractional)
Cu: 0.2500 0.2500 0.2500
Ga: 0.7500 0.7500 0.7500
Ga: 0.0000 0.0000 0.0000
As: 0.5000 0.5000 0.5000

Summary:
Density in g cm⁻³: 6.662
Calculated total energy in eV/atom: -3.448
Crystal system: cubic

[19]
## NiAs (PBE)

Data for a geometry-optimized NiAs structure.

a b c (Å): 4.7953 3.6346 7.0379
angles (deg): 90.00 90.00 90.00
Element x y z (fractional)
As: 0.7500 0.0000 0.6574
As: 0.2500 0.0000 0.3426
As: 0.7500 0.5000 0.0840
As: 0.2500 0.5000 0.9160
Ni: 0.7500 0.0000 0.2890
Ni: 0.5000 0.5000 0.5000
Ni: 0.0000 0.5000 0.5000
Ni: 0.2500 0.0000 0.7110

Summary:
Density in g cm⁻³: 7.235
Calculated total energy in eV/atom: -5.301
Crystal system: orthorhombic
Size of the total moment in Bohr magnetons per cell: 0.02

[20]
## PaPtNO (PBE)

Data for a geometry-optimized PaPtNO structure.

a b c (Å): 6.3531 6.9489 5.4430
angles (deg): 90.00 90.00 90.00
Element x y z (fractional)
O: 0.7805 0.9247 0.4234
O: 0.2805 0.0753 0.4234
O: 0.2195 0.0753 0.9234
O: 0.7195 0.9247 0.9234
N: 0.9179 0.5922 0.1528
N: 0.4179 0.4078 0.1528
N: 0.5821 0.5922 0.6528
N: 0.0821 0.4078 0.6528
Pa: 0.4406 0.3073 0.5782
Pa: 0.5594 0.6927 0.0782
Pa: 0.9406 0.6927 0.5782
Pa: 0.0594 0.3073 0.0782
Pt: 0.6218 0.1895 0.0480
Pt: 0.1218 0.8105 0.0480
Pt: 0.3782 0.8105 0.5480
Pt: 0.8782 0.1895 0.5480

Summary:
Density in g cm⁻³: 12.608
Energy above the most stable polymorph in this dataset in eV per atom: 0.146
Calculated total energy in eV/atom: -8.063
Crystal system: orthorhombic
Size of the total moment in Bohr magnetons per cell: 0.00